CoPW2 | the Alexandria database | PBE | relaxed; total magnetization = 0.0 μB per formula unit; volume = 13.50 Å³ per atom; electronic total energy = -39.0 eV per cell; density of states at the Fermi level = 1.02 states/eV/cell
1.0
3.360 0.000 0.000
0.000 1.777 4.522
0.000 -1.777 4.522
Co P W
1 1 2
Direct
0.000 0.000 0.000
0.500 0.857 0.857
0.000 0.275 0.275
0.500 0.585 0.585


Tb2PrSnN4 | the Alexandria database | PBE | relaxed; E_form (uncorrected) = -0.866 eV/atom; total magnetization = 0.0 μB per formula unit; volume = 16.19 Å³ per atom; electronic total energy = -116.6 eV per cell; density of states at the Fermi level = 2.84 states/eV/cell
1.0
1.801 -5.936 0.000
1.801 5.936 0.000
0.000 0.000 12.114
Tb Pr Sn N
4 2 2 8
Direct
0.129 0.871 0.536
0.129 0.871 0.964
0.871 0.129 0.036
0.871 0.129 0.464
0.388 0.612 0.750
0.612 0.388 0.250
0.350 0.650 0.250
0.650 0.350 0.750
0.054 0.946 0.750
0.233 0.767 0.121
0.233 0.767 0.379
0.500 0.500 0.000
0.500 0.500 0.500
0.767 0.233 0.621
0.767 0.233 0.879
0.946 0.054 0.250


PmTmRe | the Alexandria database | PBE | relaxed; total magnetization = 0.0 μB per formula unit; volume = 25.99 Å³ per atom; electronic total energy = -42.4 eV per cell; density of states at the Fermi level = 7.15 states/eV/cell
1.0
3.440 0.000 0.000
0.000 3.448 0.000
-0.009 0.000 13.149
Pm Tm Re
2 2 2
Direct
0.250 0.250 0.132
0.750 0.750 0.868
0.251 0.250 0.387
0.749 0.750 0.613
0.249 0.250 0.735
0.751 0.750 0.265


Tb8CSe3S4 | the Alexandria database | PBE | relaxed; E_form (uncorrected) = -1.747 eV/atom; total magnetization = 0.0 μB per formula unit; volume = 22.15 Å³ per atom; electronic total energy = -101.2 eV per cell; density of states at the Fermi level = 7.22 states/eV/cell
1.0
3.990 2.304 6.424
-3.990 2.304 6.424
0.000 -4.608 6.424
Tb C Se S
8 1 3 4
Direct
0.218 0.772 0.772
0.228 0.228 0.782
0.228 0.782 0.228
0.243 0.243 0.243
0.757 0.757 0.757
0.772 0.218 0.772
0.772 0.772 0.218
0.782 0.228 0.228
0.000 0.000 0.000
0.000 0.500 0.500
0.500 0.000 0.500
0.500 0.500 0.000
0.000 0.000 0.500
0.000 0.500 0.000
0.500 0.000 0.000
0.500 0.500 0.500


Sm2Tm8Sc3 | the Alexandria database | PBE | relaxed; total magnetization = 0.0 μB per formula unit; volume = 31.00 Å³ per atom; electronic total energy = -60.8 eV per cell; ΔE to the lowest computed polymorph = 184 meV per atom; density of states at the Fermi level = 18.90 states/eV/cell
1.0
7.248 -4.313 0.000
7.248 4.313 0.000
-0.905 0.000 6.445
Sm Tm Sc
2 8 3
Direct
0.204 0.204 0.275
0.796 0.796 0.725
0.194 0.194 0.780
0.209 0.574 0.576
0.413 0.413 0.115
0.426 0.791 0.424
0.574 0.209 0.576
0.587 0.587 0.885
0.791 0.426 0.424
0.806 0.806 0.220
0.000 0.000 0.500
0.165 0.835 0.000
0.835 0.165 0.000


GaCo3H3 | the Alexandria database | PBE | relaxed; total magnetization = 2.3 μB per formula unit; volume = 7.85 Å³ per atom; electronic total energy = -68.3 eV per cell; density of states at the Fermi level = 14.22 states/eV/cell
1.0
4.789 0.000 0.000
0.000 4.789 0.000
0.000 0.000 4.789
Ga Co H
2 6 6
Direct
0.000 0.000 0.000
0.500 0.500 0.500
0.000 0.250 0.500
0.000 0.750 0.500
0.250 0.500 0.000
0.500 0.000 0.250
0.500 0.000 0.750
0.750 0.500 0.000
0.000 0.500 0.250
0.000 0.500 0.750
0.250 0.000 0.500
0.500 0.250 0.000
0.500 0.750 0.000
0.750 0.000 0.500


Tb2SnGe3Rh4 | the Alexandria database | PBE | relaxed; total magnetization = 0.0 μB per formula unit; volume = 18.69 Å³ per atom; electronic total energy = -64.6 eV per cell; density of states at the Fermi level = 6.64 states/eV/cell
1.0
4.222 0.000 0.000
0.000 4.222 0.000
0.000 0.000 10.484
Tb Sn Ge Rh
2 1 3 4
Direct
0.000 0.500 0.243
0.500 0.000 0.757
0.000 0.000 0.500
0.000 0.500 0.874
0.500 0.000 0.126
0.500 0.500 0.500
0.000 0.000 0.000
0.000 0.500 0.645
0.500 0.000 0.355
0.500 0.500 0.000


MnBeSe2 | the Alexandria database | PBE | relaxed; E_form (uncorrected) = -0.098 eV/atom; total magnetization = 4.4 μB per formula unit; volume = 21.68 Å³ per atom; electronic total energy = -20.3 eV per cell; density of states at the Fermi level = 1.47 states/eV/cell
1.0
4.406 0.000 0.000
0.000 3.333 0.000
-0.329 0.000 5.904
Mn Be Se
1 1 2
Direct
0.000 0.000 0.000
0.000 0.000 0.500
0.223 0.500 0.731
0.777 0.500 0.269


CeBeCuNi6 | the Alexandria database | PBE | relaxed; total magnetization = 0.0 μB per formula unit; volume = 12.95 Å³ per atom; electronic total energy = -95.6 eV per cell; density of states at the Fermi level = 15.31 states/eV/cell
1.0
-2.897 3.978 5.055
2.897 -3.978 5.055
2.897 3.978 -5.055
Ce Be Cu Ni
2 2 2 12
Direct
0.447 0.197 0.250
0.553 0.803 0.750
0.000 0.000 0.000
0.500 0.000 0.500
0.000 0.000 0.500
0.000 0.500 0.000
0.122 0.417 0.294
0.122 0.828 0.705
0.183 0.933 0.250
0.251 0.501 0.750
0.377 0.172 0.794
0.377 0.583 0.205
0.623 0.417 0.795
0.623 0.828 0.206
0.749 0.499 0.250
0.817 0.067 0.750
0.878 0.172 0.295
0.878 0.583 0.706


CaNbCr3 | the Alexandria database | PBE | relaxed; total magnetization = 8.8 μB per formula unit; volume = 22.47 Å³ per atom; electronic total energy = -35.4 eV per cell; ΔE to the lowest computed polymorph = 0 meV per atom; density of states at the Fermi level = 3.17 states/eV/cell
1.0
4.825 0.000 0.000
0.000 4.825 0.000
0.000 0.000 4.825
Ca Nb Cr
1 1 3
Direct
0.000 0.000 0.000
0.500 0.500 0.500
0.000 0.500 0.500
0.500 0.000 0.500
0.500 0.500 0.000


GdSc2Tc | the Alexandria database | PBE | relaxed; total magnetization = 7.5 μB per formula unit; volume = 22.15 Å³ per atom; electronic total energy = -36.9 eV per cell; density of states at the Fermi level = 4.10 states/eV/cell
1.0
2.320 1.340 4.751
-2.320 1.340 4.751
0.000 -2.679 4.751
Gd Sc Tc
1 2 1
Direct
0.000 0.000 0.000
0.226 0.226 0.226
0.774 0.774 0.774
0.500 0.500 0.500


Ac3GaAg8 | the Alexandria database | PBE | relaxed; total magnetization = 0.0 μB per formula unit; volume = 23.88 Å³ per atom; electronic total energy = -40.1 eV per cell; density of states at the Fermi level = 7.47 states/eV/cell
1.0
2.935 1.695 9.604
-2.935 1.695 9.604
0.000 -3.389 9.604
Ac Ga Ag
3 1 8
Direct
0.000 0.000 0.000
0.128 0.128 0.128
0.516 0.516 0.516
0.639 0.639 0.639
0.067 0.567 0.567
0.072 0.072 0.563
0.072 0.563 0.072
0.318 0.318 0.318
0.563 0.072 0.072
0.567 0.067 0.567
0.567 0.567 0.067
0.819 0.819 0.819


Sr3CeTl12 | the Alexandria database | PBE | relaxed; total magnetization = 1.2 μB per formula unit; volume = 30.45 Å³ per atom; electronic total energy = -43.2 eV per cell; density of states at the Fermi level = 17.37 states/eV/cell
1.0
4.982 0.000 0.000
0.000 4.982 0.000
0.000 0.000 19.628
Sr Ce Tl
3 1 12
Direct
0.000 0.000 0.000
0.000 0.000 0.255
0.000 0.000 0.745
0.000 0.000 0.500
0.000 0.500 0.127
0.000 0.500 0.380
0.000 0.500 0.620
0.000 0.500 0.873
0.500 0.000 0.127
0.500 0.000 0.380
0.500 0.000 0.620
0.500 0.000 0.873
0.500 0.500 0.000
0.500 0.500 0.252
0.500 0.500 0.500
0.500 0.500 0.748


La4DySb5 | the Alexandria database | PBE | relaxed; E_form (uncorrected) = -1.234 eV/atom; total magnetization = 0.0 μB per formula unit; volume = 34.00 Å³ per atom; electronic total energy = -57.3 eV per cell; ΔE to the lowest computed polymorph = 4 meV per atom; density of states at the Fermi level = 1.40 states/eV/cell
1.0
-2.293 2.293 16.171
2.293 -2.293 16.171
2.293 2.293 -16.171
La Dy Sb
4 1 5
Direct
0.099 0.099 0.000
0.301 0.301 0.000
0.699 0.699 0.000
0.901 0.901 0.000
0.500 0.500 0.000
0.000 0.000 0.000
0.200 0.200 0.000
0.403 0.403 0.000
0.597 0.597 0.000
0.800 0.800 0.000


Cu2AgPb | the Alexandria database | PBE | relaxed; total magnetization = 0.0 μB per formula unit; volume = 17.42 Å³ per atom; electronic total energy = -13.8 eV per cell; density of states at the Fermi level = 1.22 states/eV/cell
1.0
3.683 0.000 0.000
0.000 4.370 0.000
-0.020 0.000 4.330
Cu Ag Pb
2 1 1
Direct
0.000 0.000 0.000
0.000 0.500 0.500
0.500 0.000 0.500
0.500 0.500 0.000


TbNd3YHo | the Alexandria database | PBE | relaxed; total magnetization = 0.0 μB per formula unit; volume = 33.49 Å³ per atom; electronic total energy = -59.7 eV per cell; density of states at the Fermi level = 17.50 states/eV/cell
1.0
2.556 -7.684 0.000
2.556 7.684 0.000
0.000 0.000 10.230
Tb Nd Y Ho
2 6 2 2
Direct
0.000 0.000 0.000
0.000 0.000 0.500
0.165 0.835 0.750
0.335 0.665 0.000
0.335 0.665 0.500
0.665 0.335 0.000
0.665 0.335 0.500
0.835 0.165 0.250
0.165 0.835 0.250
0.835 0.165 0.750
0.499 0.501 0.750
0.501 0.499 0.250


Na2InSnI5 | the Alexandria database | PBE | relaxed; E_form (uncorrected) = -0.790 eV/atom; total magnetization = 0.0 μB per formula unit; volume = 42.89 Å³ per atom; electronic total energy = -48.5 eV per cell; density of states at the Fermi level = 0.00 states/eV/cell
1.0
2.288 -9.930 0.000
2.288 9.930 0.000
0.000 0.000 16.992
Na In Sn I
4 2 2 10
Direct
0.034 0.966 0.500
0.142 0.858 0.102
0.858 0.142 0.602
0.966 0.034 0.000
0.412 0.588 0.276
0.588 0.412 0.776
0.287 0.713 0.890
0.713 0.287 0.390
0.123 0.877 0.913
0.204 0.796 0.524
0.230 0.770 0.257
0.441 0.559 0.872
0.468 0.532 0.612
0.532 0.468 0.112
0.559 0.441 0.372
0.770 0.230 0.757
0.796 0.204 0.024
0.877 0.123 0.413


Mg2VGa2 | the Alexandria database | PBE | relaxed; total magnetization = 2.9 μB per formula unit; volume = 18.70 Å³ per atom; electronic total energy = -35.9 eV per cell; ΔE to the lowest computed polymorph = 0 meV per atom; density of states at the Fermi level = 6.65 states/eV/cell
1.0
7.037 0.000 0.000
0.000 7.037 0.000
0.000 0.000 3.776
Mg V Ga
4 2 4
Direct
0.171 0.329 0.000
0.329 0.829 0.000
0.671 0.171 0.000
0.829 0.671 0.000
0.000 0.000 0.500
0.500 0.500 0.500
0.133 0.633 0.500
0.367 0.133 0.500
0.633 0.867 0.500
0.867 0.367 0.500


ScCoRe2 | the Alexandria database | PBE | relaxed; total magnetization = 1.8 μB per formula unit; volume = 14.96 Å³ per atom; electronic total energy = -38.6 eV per cell; ΔE to the lowest computed polymorph = 0 meV per atom; density of states at the Fermi level = 2.11 states/eV/cell
1.0
0.000 3.105 3.105
3.105 0.000 3.105
3.105 3.105 0.000
Sc Co Re
1 1 2
Direct
0.000 0.000 0.000
0.250 0.250 0.250
0.500 0.500 0.500
0.750 0.750 0.750


LiHfSe2 | the Alexandria database | PBE | relaxed; E_form (uncorrected) = -0.965 eV/atom; total magnetization = 0.5 μB per formula unit; volume = 25.96 Å³ per atom; electronic total energy = -45.4 eV per cell; density of states at the Fermi level = 7.53 states/eV/cell
1.0
-3.029 3.029 5.659
3.029 -3.029 5.659
3.029 3.029 -5.659
Li Hf Se
2 2 4
Direct
0.000 0.000 0.000
0.750 0.250 0.500
0.250 0.750 0.500
0.500 0.500 0.000
0.121 0.625 0.996
0.375 0.371 0.496
0.629 0.125 0.004
0.875 0.879 0.504